A relaxed structure of CuReGeMo. Source: the Open Quantum Materials Database, functional PBE.

- total magnetization (μB/f.u.) = 0.0
- E (eV per atom) = -7.643

CIF file:
```
data_CuReGeMo
_symmetry_space_group_name_H-M 'F -4 3 m'
_symmetry_Int_Tables_number 216
_symmetry_space_group_name_Hall 'F -4 2 3'
_cell_length_a 6.136
_cell_length_b 6.136
_cell_length_c 6.136
_cell_angle_alpha 90.00
_cell_angle_beta 90.00
_cell_angle_gamma 90.00
loop_
_atom_site_label
_atom_site_type_symbol
_atom_site_fract_x
_atom_site_fract_y
_atom_site_fract_z
Cu1 Cu 0.000 0.000 0.000
Re1 Re 0.000 0.000 0.500
Ge1 Ge 0.250 0.250 0.750
Mo1 Mo 0.250 0.250 0.250
```